Below is crystalline ZrTl2N2 at its relaxed geometry, with properties calculated at the PBE level.

abc: 3.3749 3.3749 9.2157
angles: 90.00 90.00 120.00
With the nearest neighbours (Å) after each atom.
Positions (direct):
1 N 0.6667 0.3333 0.8761  3 Zr 2.26
2 N 0.3333 0.6667 0.1239  3 Zr 2.26
3 Zr 0.0000 0.0000 0.0000  6 N 2.26
4 Tl 0.6667 0.3333 0.3182  3 N 2.65
5 Tl 0.3333 0.6667 0.6818  3 N 2.65

energy: -6.4402 eV per atom
calculated volume: 18.2 A^3/atom

---

Below is crystalline Zr3TlN2 at its relaxed geometry, with properties calculated at the PBE level.

abc: 3.2917 3.2917 20.3185
angles: 90.00 90.00 120.00
With the nearest neighbours (Å) after each atom.
Positions (direct):
1 Zr 0.0000 0.0000 0.0000  6 N 2.32
2 Zr 0.6667 0.3333 0.3731  3 N 2.27
3 Zr 0.3333 0.6667 0.8731  3 N 2.27
4 Zr 0.0000 0.0000 0.5000  6 N 2.32
5 Zr 0.3333 0.6667 0.6269  3 N 2.27
6 Zr 0.6667 0.3333 0.1269  3 N 2.27
7 N 0.6667 0.3333 0.9342  6 Zr 2.27-2.32
8 N 0.3333 0.6667 0.4342  6 Zr 2.27-2.32
9 N 0.6667 0.3333 0.5658  6 Zr 2.27-2.32
10 N 0.3333 0.6667 0.0658  6 Zr 2.27-2.32
11 Tl 0.0000 0.0000 0.2500  6 Zr 3.14, 6 Tl 3.29
12 Tl 0.0000 0.0000 0.7500  6 Zr 3.14, 6 Tl 3.29

energy: -8.6252 eV per atom
calculated volume: 15.9 A^3/atom

---

Below is crystalline ZrTl2N at its relaxed geometry, with properties calculated at the PBE level.

abc: 3.3701 3.3701 15.8899
angles: 90.00 90.00 120.00
With the nearest neighbours (Å) after each atom.
Positions (direct):
1 Zr 0.3333 0.6667 0.7500  6 Tl 3.16, 6 Zr 3.37
2 Zr 0.6667 0.3333 0.2500  6 Tl 3.16, 6 Zr 3.37
3 N 0.0000 0.0000 0.0000  6 Tl 2.45
4 N 0.0000 0.0000 0.5000  6 Tl 2.45
5 Tl 0.3333 0.6667 0.0934  3 N 2.45
6 Tl 0.3333 0.6667 0.4066  3 N 2.45
7 Tl 0.6667 0.3333 0.9066  3 N 2.45
8 Tl 0.6667 0.3333 0.5934  3 N 2.45

energy: -4.8298 eV per atom
calculated volume: 19.5 A^3/atom

---

Below is crystalline TmN at its relaxed geometry, with properties calculated at the PBE level.

abc: 3.6502 3.6502 3.6502
angles: 60.00 60.00 60.00
With the nearest neighbours (Å) after each atom.
Positions (direct):
1 N 0.0000 0.0000 0.0000  4 Tm 2.24
2 Tm 0.2500 0.2500 0.2500  4 N 2.24

energy: -7.9589 eV per atom
calculated volume: 17.2 A^3/atom